The following is a DFT calculation (PBE) of a relaxed structure of Li3Tm2PtO6.

The spin magnetization comes out at 2.1 μB/cell. The value obtained for the uncorrected formation energy is -2.22 eV per atom.

The structure belongs to space group C2/m (No. 12); the cell edges are 5.5428, 9.6553 and 5.3817 Å and the angles 90.00°, 108.57° and 90.00°. The asymmetric unit holds Li at (0.0000, 0.0000, 0.0000), Li at (0.0000, 0.3489, 0.0000), Tm at (0.0000, 0.1704, 0.5000), Pt at (0.0000, 0.5000, 0.5000), O at (0.2414, 0.5000, 0.2689) and O at (0.2493, 0.1680, 0.2493).